1.
The following is a PBE-GGA calculation of crystalline LiTlSn at its relaxed geometry, from Alexandria.

Structure (POSCAR):
```
LiTlSn
1.0
3.522 0.000 0.000
0.000 3.522 0.000
0.000 0.000 11.932
Li Sn Tl
2 2 2
direct
0.000 0.500 0.564
0.500 0.000 0.436
0.500 0.000 0.693
0.000 0.500 0.307
0.000 0.500 0.883
0.500 0.000 0.117
```

Calculated values
D(E_F) (states/eV per cell): 1.1
Space-group type: No. 129
Density (g/cm3): 7.4
Raw total energy (eV/atom): -2.92
Total magnetic moment (μB per cell): 0.00

---

2.
The following is a PBE-GGA calculation of crystalline LiTlSn at its relaxed geometry, from Alexandria.

Structure (POSCAR):
```
LiTlSn
1.0
5.219 -1.444 2.202
2.245 -6.222 1.963
2.104 -3.949 -3.421
Tl Sn Li
2 2 2
direct
0.828 0.172 0.172
0.172 0.828 0.828
0.335 0.335 0.665
0.665 0.665 0.335
0.250 0.250 0.250
0.750 0.750 0.750
```

Calculated values
D(E_F) (states/eV per cell): 2.4
Space-group type: No. 69
Density (g/cm3): 7.6
Raw total energy (eV/atom): -2.91
Total magnetic moment (μB per cell): 0.00

---

3.
The following is a PBE-GGA calculation of crystalline Li3TlSn at its relaxed geometry, from Alexandria.

Structure (POSCAR):
```
Li3TlSn
1.0
4.361 0.000 0.000
0.000 6.480 0.683
0.000 -0.545 7.092
Li Tl Sn
6 2 2
direct
0.624 0.814 0.581
0.624 0.994 0.146
0.124 0.511 0.660
0.124 0.285 0.066
0.124 0.104 0.502
0.624 0.588 0.987
0.624 0.369 0.354
0.124 0.730 0.293
0.624 0.220 0.782
0.124 0.879 0.866
```

Calculated values
D(E_F) (states/eV per cell): 2.5
Space-group type: No. 11
Density (g/cm3): 5.7
Energy relative to the lowest polymorph listed for this composition (meV per atom): 0
Total magnetic moment (μB per cell): 0.00

---

4.
The following is a PBE-GGA calculation of crystalline Li2TlSn2 at its relaxed geometry, from Alexandria.

Structure (POSCAR):
```
Li2TlSn2
1.0
0.784 7.007 0.382
0.855 -4.754 -5.150
-7.928 -1.475 3.034
Li Tl Sn
4 2 4
direct
0.379 0.621 0.250
0.749 0.251 0.250
0.251 0.749 0.750
0.621 0.379 0.750
0.157 0.843 0.250
0.843 0.157 0.750
0.819 0.696 0.509
0.304 0.181 0.991
0.696 0.819 0.009
0.181 0.304 0.491
```

Calculated values
D(E_F) (states/eV per cell): 3.8
Space-group type: No. 15
Density (g/cm3): 6.4
Energy relative to the lowest polymorph listed for this composition (meV per atom): 10
Total magnetic moment (μB per cell): 0.00

---

5.
The following is a PBE-GGA calculation of crystalline Li2TlSn at its relaxed geometry, from Alexandria.

Structure (POSCAR):
```
Li2TlSn
1.0
3.353 0.000 0.000
1.677 2.904 0.000
1.677 0.968 9.139
Li Tl Sn
2 1 1
direct
0.082 0.082 0.756
0.252 0.252 0.245
0.500 0.500 0.499
0.666 0.666 0.001
```

Calculated values
D(E_F) (states/eV per cell): 2.2
Space-group type: No. 160
Density (g/cm3): 6.3
Energy relative to the lowest polymorph listed for this composition (meV per atom): 89
Total magnetic moment (μB per cell): 0.00

---

6.
The following is a PBE-GGA calculation of crystalline LiTl2Sn at its relaxed geometry, from Alexandria.

Structure (POSCAR):
```
LiTl2Sn
1.0
4.199 0.000 0.000
0.000 4.992 0.000
0.000 0.000 4.992
Tl Sn Li
2 1 1
direct
0.000 0.000 0.500
0.000 0.500 0.000
0.500 0.000 0.000
0.500 0.500 0.500
```

Calculated values
D(E_F) (states/eV per cell): 1.7
Space-group type: No. 123
Density (g/cm3): 8.5
Energy relative to the lowest polymorph listed for this composition (meV per atom): 0
Total magnetic moment (μB per cell): 0.00

---

7.
The following is a PBE-GGA calculation of crystalline Li2TlSn2 at its relaxed geometry, from Alexandria.

Structure (POSCAR):
```
Li2TlSn2
1.0
-2.843 0.943 -3.873
-2.260 -2.027 3.841
1.628 4.774 3.881
Li Tl Sn
2 1 2
direct
0.805 0.392 0.197
0.195 0.608 0.803
0.000 0.000 0.000
0.405 0.214 0.619
0.595 0.786 0.381
```

Calculated values
D(E_F) (states/eV per cell): 1.8
Space-group type: No. 12
Density (g/cm3): 6.4
Energy relative to the lowest polymorph listed for this composition (meV per atom): 21
Total magnetic moment (μB per cell): 0.00

---

8.
The following is a PBE-GGA calculation of crystalline LiTlSn at its relaxed geometry, from Alexandria.

Structure (POSCAR):
```
LiTlSn
1.0
-2.096 -1.049 2.541
1.617 -3.055 0.073
4.134 4.211 2.797
Tl Sn Li
1 1 1
direct
0.008 0.008 0.016
0.319 0.319 0.638
0.673 0.673 0.346
```

Calculated values
D(E_F) (states/eV per cell): 0.8
Space-group type: No. 107
Density (g/cm3): 7.6
Raw total energy (eV/atom): -2.90
Total magnetic moment (μB per cell): 0.00

---

9.
The following is a PBE-GGA calculation of crystalline LiTlSn at its relaxed geometry, from Alexandria.

Structure (POSCAR):
```
LiTlSn
1.0
7.227 0.000 0.000
0.000 3.901 0.000
0.000 0.000 10.449
Tl Sn Li
4 4 4
direct
0.880 0.250 0.401
0.620 0.750 0.901
0.120 0.750 0.599
0.380 0.250 0.099
0.377 0.250 0.420
0.123 0.750 0.920
0.623 0.750 0.580
0.877 0.250 0.080
0.875 0.250 0.754
0.625 0.750 0.254
0.125 0.750 0.246
0.375 0.250 0.746
```

Calculated values
D(E_F) (states/eV per cell): 3.4
Space-group type: No. 62
Density (g/cm3): 7.4
Raw total energy (eV/atom): -2.91
Total magnetic moment (μB per cell): 0.00

---

10.
The following is a PBE-GGA calculation of crystalline LiTlSn at its relaxed geometry, from Alexandria.

Structure (POSCAR):
```
LiTlSn
1.0
-2.736 -2.366 -2.382
1.636 -3.623 1.719
-5.364 0.340 5.823
Tl Sn Li
2 2 2
direct
0.000 0.000 0.500
0.500 0.500 0.500
0.000 0.500 0.885
0.500 0.000 0.115
0.000 0.500 0.235
0.500 0.000 0.765
```

Calculated values
D(E_F) (states/eV per cell): 3.1
Space-group type: No. 129
Density (g/cm3): 7.4
Raw total energy (eV/atom): -2.80
Total magnetic moment (μB per cell): 0.00

---

11.
The following is a PBE-GGA calculation of crystalline LiTl2Sn2 at its relaxed geometry, from Alexandria.

Structure (POSCAR):
```
LiTl2Sn2
1.0
-3.424 0.423 0.591
-0.144 -3.183 1.449
3.917 5.725 8.733
Li Tl Sn
1 2 2
direct
0.500 0.500 0.000
0.680 0.685 0.370
0.320 0.315 0.630
0.077 0.078 0.156
0.923 0.922 0.844
```

Calculated values
D(E_F) (states/eV per cell): 1.8
Space-group type: No. 12
Density (g/cm3): 8.1
Energy relative to the lowest polymorph listed for this composition (meV per atom): 0
Total magnetic moment (μB per cell): 0.00

---

12.
The following is a PBE-GGA calculation of crystalline LiTlSn at its relaxed geometry, from Alexandria.

Structure (POSCAR):
```
LiTlSn
1.0
6.024 -0.038 -0.006
-1.879 4.272 -0.026
-2.150 -0.919 5.801
Tl Sn Li
2 2 2
direct
0.363 0.182 0.618
0.637 0.818 0.382
0.039 0.513 0.770
0.961 0.487 0.230
0.305 0.152 0.091
0.695 0.848 0.909
```

Calculated values
D(E_F) (states/eV per cell): 2.2
Space-group type: No. 2
Density (g/cm3): 7.4
Raw total energy (eV/atom): -2.91
Total magnetic moment (μB per cell): 0.00